Entry 1:
## HfFeSi2Ni (PBE)

Data for HfFeSi2Ni after structural relaxation.

Lattice parameters (Å, degrees): 5.5141 5.5141 5.5141 140.33 140.33 57.35
Positions (direct):
Hf1 0.0000 0.0000 0.0000
Fe1 0.7500 0.2500 0.5000
Si1 0.3800 0.3800 0.0000
Si2 0.6200 0.6200 0.0000
Ni1 0.2500 0.7500 0.5000

Uncorrected energy: -7.688 eV per atom
Spin magnetization: 0.00 μB/atom
Theoretical density: 8.56 g/cm³
Energy relative to the elements, uncorrected: -0.68 eV/atom

---

Entry 2:
## HfFeSi3Ni (PBE)

Data for HfFeSi3Ni after structural relaxation.

Lattice parameters (Å, degrees): 6.1148 6.1148 5.5918 90.00 90.00 125.26
Positions (direct):
Hf1 0.2025 0.7975 0.7500
Hf2 0.7975 0.2025 0.2500
Fe1 0.1266 0.8734 0.2500
Fe2 0.8734 0.1266 0.7500
Si1 0.2145 0.2145 0.0000
Si2 0.2145 0.2145 0.5000
Si3 0.3368 0.6632 0.2500
Si4 0.6632 0.3368 0.7500
Si5 0.7855 0.7855 0.0000
Si6 0.7855 0.7855 0.5000
Ni1 0.4295 0.5705 0.7500
Ni2 0.5705 0.4295 0.2500

Uncorrected energy: -6.950 eV per atom
Spin magnetization: 0.00 μB/atom
Theoretical density: 7.34 g/cm³
Energy relative to the elements, uncorrected: -0.21 eV/atom

---

Entry 3:
## Hf2TaFeNi (PBE)

Data for Hf2TaFeNi after structural relaxation.

Lattice parameters (Å, degrees): 4.7117 4.7117 4.5304 90.00 90.00 90.00
Positions (direct):
Hf1 0.0000 0.5000 0.0000
Hf2 0.5000 0.0000 0.0000
Ta1 0.0000 0.0000 0.5000
Fe1 0.5000 0.5000 0.5000
Ni1 0.0000 0.0000 0.0000

Uncorrected energy: -8.319 eV per atom
Spin magnetization: 0.00 μB/atom
Theoretical density: 10.77 g/cm³
E_form: 0.882 eV/atom

---

Entry 4:
## TbHfFeNi (PBE)

Data for TbHfFeNi after structural relaxation.

Lattice parameters (Å, degrees): 4.5986 4.5986 4.5986 60.00 60.00 60.00
Positions (direct):
Tb1 0.0000 0.0000 0.0000
Hf1 0.5000 0.5000 0.5000
Fe1 0.7500 0.7500 0.7500
Ni1 0.2500 0.2500 0.2500

Uncorrected energy: -7.359 eV per atom
Spin magnetization: 0.00 μB/atom
Theoretical density: 10.91 g/cm³
E_form: -0.152 eV/atom

---

Entry 5:
## HfTiFeNi (PBE)

Data for HfTiFeNi after structural relaxation.

Lattice parameters (Å, degrees): 4.3495 4.3495 4.3495 60.00 60.00 60.00
Positions (direct):
Hf1 0.0000 0.0000 0.0000
Ti1 0.5000 0.5000 0.5000
Fe1 0.7500 0.7500 0.7500
Ni1 0.2500 0.2500 0.2500

Uncorrected energy: -8.356 eV per atom
Spin magnetization: 0.00 μB/atom
Theoretical density: 9.73 g/cm³
E_form: -0.333 eV/atom

---

Entry 6:
## TmHfFeNi (PBE)

Data for TmHfFeNi after structural relaxation.

Lattice parameters (Å, degrees): 4.5552 4.5552 4.5552 60.00 60.00 60.00
Positions (direct):
Tm1 0.0000 0.0000 0.0000
Hf1 0.5000 0.5000 0.5000
Fe1 0.2500 0.2500 0.2500
Ni1 0.7500 0.7500 0.7500

Uncorrected energy: -7.403 eV per atom
Spin magnetization: 0.00 μB/atom
Theoretical density: 11.48 g/cm³
E_form: -0.236 eV/atom

---

Entry 7:
## HfVFeNi (PBE)

Data for HfVFeNi after structural relaxation.

Lattice parameters (Å, degrees): 4.3135 4.3135 4.3135 60.00 60.00 60.00
Positions (direct):
Hf1 0.0000 0.0000 0.0000
V1 0.5000 0.5000 0.5000
Fe1 0.7500 0.7500 0.7500
Ni1 0.2500 0.2500 0.2500

Uncorrected energy: -8.473 eV per atom
Spin magnetization: 0.15 μB/atom
Theoretical density: 10.06 g/cm³
E_form: -0.144 eV/atom

---

Entry 8:
## YHfFeNi (PBE)

Data for YHfFeNi after structural relaxation.

Lattice parameters (Å, degrees): 4.5995 4.5995 4.5995 60.00 60.00 60.00
Positions (direct):
Y1 0.0000 0.0000 0.0000
Hf1 0.5000 0.5000 0.5000
Fe1 0.2500 0.2500 0.2500
Ni1 0.7500 0.7500 0.7500

Uncorrected energy: -7.815 eV per atom
Spin magnetization: 0.00 μB/atom
Theoretical density: 9.22 g/cm³
E_form: -0.149 eV/atom

---

Entry 9:
## HfZnFeNi2 (PBE)

Data for HfZnFeNi2 after structural relaxation.

Lattice parameters (Å, degrees): 4.2637 4.2637 4.3651 90.00 90.00 90.00
Positions (direct):
Hf1 0.0000 0.0000 0.0000
Zn1 0.5000 0.5000 0.5000
Fe1 0.5000 0.5000 0.0000
Ni1 0.0000 0.5000 0.5000
Ni2 0.5000 0.0000 0.5000

Uncorrected energy: -5.652 eV per atom
Spin magnetization: 0.18 μB/atom
Theoretical density: 8.73 g/cm³
E_form: 0.598 eV/atom

---

Entry 10:
## HfZrFeNi (PBE)

Data for HfZrFeNi after structural relaxation.

Lattice parameters (Å, degrees): 4.4933 4.4933 4.4933 60.00 60.00 60.00
Positions (direct):
Hf1 0.0000 0.0000 0.0000
Zr1 0.5000 0.5000 0.5000
Fe1 0.7500 0.7500 0.7500
Ni1 0.2500 0.2500 0.2500

Uncorrected energy: -8.486 eV per atom
Spin magnetization: 0.00 μB/atom
Theoretical density: 9.95 g/cm³
E_form: -0.299 eV/atom

---

Entry 11:
## HfNpFe (PBE)

Data for HfNpFe after structural relaxation.

Lattice parameters (Å, degrees): 6.6537 5.2175 6.2311 90.00 101.31 90.00
Positions (direct):
Hf1 0.1471 0.1337 0.3619
Hf2 0.1471 0.3663 0.8619
Hf3 0.8529 0.6337 0.1381
Hf4 0.8529 0.8663 0.6381
Np1 0.4316 0.6197 0.3332
Np2 0.4316 0.8803 0.8332
Np3 0.5684 0.1197 0.1668
Np4 0.5684 0.3803 0.6668
Fe1 0.1657 0.6393 0.5020
Fe2 0.1657 0.8607 0.0020
Fe3 0.8343 0.1393 0.9980
Fe4 0.8343 0.3607 0.4980

Uncorrected energy: -10.464 eV per atom
Spin magnetization: 0.00 μB/atom
Theoretical density: 14.76 g/cm³
E_form: -0.012 eV/atom

---

Entry 12:
## Hf2NpFe (PBE)

Data for Hf2NpFe after structural relaxation.

Lattice parameters (Å, degrees): 3.1149 3.1149 7.8152 90.00 90.00 90.00
Positions (direct):
Hf1 0.0000 0.0000 0.2010
Hf2 0.0000 0.0000 0.7990
Np1 0.5000 0.5000 0.5000
Fe1 0.5000 0.5000 0.0000

Uncorrected energy: -10.257 eV per atom
Spin magnetization: 0.94 μB/atom
Theoretical density: 14.23 g/cm³
E_form: 0.071 eV/atom